# 1
{"formula": "ZrNiAsBr2", "functional": "PBE-GGA", "state": "optimized geometry", "crystal_system": "tetragonal", "formation_energy_uncorrected_ev_per_atom": 0.209, "relative_energy_mev_per_atom": 0.0, "lattice_angstrom": [[4.6616, 0.0000, 0.0000], [0.0000, 4.6616, 0.0000], [0.0000, 0.0000, 5.0076]], "species": ["Br", "Br", "As", "Zr", "Ni"], "fractional_positions": [[0.5000, 0.0000, 0.0000], [0.0000, 0.5000, 0.0000], [0.0000, 0.0000, 0.5000], [0.5000, 0.5000, 0.5000], [0.0000, 0.0000, 0.0000]]}

# 2
{"formula": "NpAsBr", "functional": "PBE-GGA", "state": "optimized geometry", "crystal_system": "orthorhombic", "formation_energy_uncorrected_ev_per_atom": -0.491, "relative_energy_mev_per_atom": 0.0, "lattice_angstrom": [[-2.6224, -4.5176, 0.9974], [4.0798, -1.7558, 2.7739], [-0.6033, 4.2734, 3.5923]], "species": ["As", "As", "Np", "Np", "Br", "Br"], "fractional_positions": [[0.6020, 0.2500, 0.2040], [0.3980, 0.7500, 0.7960], [0.2598, 0.2500, 0.5197], [0.7402, 0.7500, 0.4803], [0.0947, 0.7500, 0.1894], [0.9053, 0.2500, 0.8106]]}

# 3
{"formula": "NpAsBr", "functional": "PBE-GGA", "state": "optimized geometry", "crystal_system": "hexagonal", "formation_energy_uncorrected_ev_per_atom": -0.327, "relative_energy_mev_per_atom": 164.2, "lattice_angstrom": [[-1.2004, 1.5696, 2.5675], [-4.4772, 0.0995, -2.1541], [1.2665, -3.8137, 2.9236]], "species": ["Np", "Br", "As"], "fractional_positions": [[0.1667, 0.0000, 0.0000], [0.1668, 0.3333, 0.6667], [0.6665, 0.6667, 0.3333]]}

# 4
{"formula": "AsBrO2", "functional": "PBE-GGA", "state": "optimized geometry", "crystal_system": "cubic", "formation_energy_uncorrected_ev_per_atom": 0.755, "relative_energy_mev_per_atom": 1187.7, "lattice_angstrom": [[0.0000, 2.9687, 2.9687], [2.9687, 0.0000, 2.9687], [2.9687, 2.9687, 0.0000]], "species": ["O", "O", "Br", "As"], "fractional_positions": [[0.2500, 0.2500, 0.2500], [0.7500, 0.7500, 0.7500], [0.5000, 0.5000, 0.5000], [0.0000, 0.0000, 0.0000]]}

# 5
{"formula": "As3BrO", "functional": "PBE-GGA", "state": "optimized geometry", "crystal_system": "cubic", "formation_energy_uncorrected_ev_per_atom": 1.775, "relative_energy_mev_per_atom": 1195.1, "lattice_angstrom": [[5.0563, 0.0000, 0.0000], [0.0000, 5.0563, 0.0000], [0.0000, 0.0000, 5.0563]], "species": ["Br", "As", "As", "As", "O"], "fractional_positions": [[0.0000, 0.0000, 0.0000], [0.0000, 0.0000, 0.5000], [0.5000, 0.0000, 0.0000], [0.0000, 0.5000, 0.0000], [0.5000, 0.5000, 0.5000]]}

# 6
{"formula": "As2BrO2", "functional": "PBE-GGA", "state": "optimized geometry", "crystal_system": "tetragonal", "formation_energy_uncorrected_ev_per_atom": -0.480, "relative_energy_mev_per_atom": 0.0, "lattice_angstrom": [[3.7843, 0.0000, 0.0000], [0.0000, 3.7843, 0.0000], [1.8921, 1.8921, 5.7838]], "species": ["Br", "O", "O", "As", "As"], "fractional_positions": [[0.0000, 0.0000, 0.0000], [0.7500, 0.2500, 0.5000], [0.2500, 0.7500, 0.5000], [0.3351, 0.3351, 0.3297], [0.6649, 0.6649, 0.6703]]}

# 7
{"formula": "AsBrO2", "functional": "PBE-GGA", "state": "optimized geometry", "crystal_system": "trigonal", "formation_energy_uncorrected_ev_per_atom": 0.288, "relative_energy_mev_per_atom": 721.2, "lattice_angstrom": [[1.8036, 0.0000, 8.2474], [-0.9018, 1.5619, 8.2474], [-0.9018, -1.5619, 8.2474]], "species": ["Br", "O", "O", "As"], "fractional_positions": [[0.5000, 0.5000, 0.5000], [0.0675, 0.0675, 0.0675], [0.9325, 0.9325, 0.9325], [0.0000, 0.0000, 0.0000]]}

# 8
{"formula": "AsBrO3", "functional": "PBE-GGA", "state": "optimized geometry", "crystal_system": "cubic", "formation_energy_uncorrected_ev_per_atom": 0.781, "lattice_angstrom": [[4.0507, 0.0000, 0.0000], [0.0000, 4.0507, 0.0000], [0.0000, 0.0000, 4.0507]], "species": ["As", "O", "O", "O", "Br"], "fractional_positions": [[0.0000, 0.0000, 0.0000], [0.0000, 0.5000, 0.5000], [0.5000, 0.0000, 0.5000], [0.5000, 0.5000, 0.0000], [0.5000, 0.5000, 0.5000]]}